This record from Alexandria via LeMat-Bulk describes a relaxed Cs5Ag3As3 crystal. The functional is GGA-PBE.

## Properties
calculated formation energy = -0.216 eV per atom

abc: 11.3183 11.3183 4.8193
angles: 90.00 90.00 120.00
Space group P-62m (No. 189)
One atom of each set of equivalent atoms:
Cs  0.0000  0.7332  0.0000
Cs  0.3333  0.6667  0.0000
Ag  0.0000  0.3273  0.5000
As  0.0000  0.3788  0.0000



This record from Alexandria via LeMat-Bulk describes a relaxed FeRu2 crystal. The functional is GGA-PBE.

## Properties
calculated formation energy = 0.084 eV per atom

abc: 2.699 13.728 4.251
angles: 90.00 90.00 90.00
Space group Cmcm (No. 63)
One atom of each set of equivalent atoms:
Fe  0.000  0.224  0.250
Ru  0.000  0.116  0.750
Ru  0.000  0.442  0.750



This record from Alexandria via LeMat-Bulk describes a relaxed Sr3TcOs crystal. The functional is GGA-PBE.

## Properties
distance to the lowest polymorph of the same formula = 0.00 kcal/mol of atoms
calculated formation energy = 1.239 eV per atom

abc: 5.709 5.709 5.709
angles: 90.00 90.00 90.00
Space group Pm-3m (No. 221)
One atom of each set of equivalent atoms:
Sr  0.000  0.000  0.500
Tc  0.500  0.500  0.500
Os  0.000  0.000  0.000